(1)
Material: Pr2BeFeO6
Method: DFT, GGA+U
State: optimized geometry

Structure (CIF):
```
data_Pr2BeFeO6
_chemical_formula_sum 'Pr4 Be2 Fe2 O12'
_symmetry_space_group_name_H-M 'P 1'
_symmetry_Int_Tables_number 1
_cell_length_a 5.383
_cell_length_b 5.282
_cell_length_c 7.511
_cell_angle_alpha 90.00
_cell_angle_beta 89.82
_cell_angle_gamma 90.00
loop_
_symmetry_equiv_pos_as_xyz
'x,y,z'
loop_
_atom_site_label
_atom_site_fract_x
_atom_site_fract_y
_atom_site_fract_z
O1 0.947 0.499 0.245
O2 0.255 0.246 0.471
O3 0.252 0.249 0.028
O4 0.447 0.001 0.745
O5 0.248 0.749 0.472
O6 0.553 0.999 0.255
O7 0.752 0.251 0.528
O8 0.748 0.751 0.972
O9 0.755 0.254 0.971
O10 0.053 0.501 0.755
O11 0.245 0.746 0.029
O12 0.745 0.754 0.529
Pr1 0.502 0.500 0.750
Pr2 0.498 0.500 0.250
Pr3 0.002 0.000 0.250
Pr4 0.998 0.000 0.750
Fe1 0.000 0.500 0.500
Fe2 0.500 0.000 0.000
Be1 0.000 0.500 0.000
Be2 0.500 0.000 0.500
```

Properties
Crystal system: monoclinic
Final energy in eV/cell: -145.407


(2)
Material: BeFeRuO2
Method: DFT, GGA+U
State: optimized geometry

Structure (CIF):
```
data_BeFeRuO2
_chemical_formula_sum 'Be1 Fe1 Ru1 O2'
_symmetry_space_group_name_H-M 'P 1'
_symmetry_Int_Tables_number 1
_cell_length_a 3.576
_cell_length_b 5.067
_cell_length_c 3.576
_cell_angle_alpha 90.00
_cell_angle_beta 90.00
_cell_angle_gamma 90.00
loop_
_symmetry_equiv_pos_as_xyz
'x,y,z'
loop_
_atom_site_label
_atom_site_fract_x
_atom_site_fract_y
_atom_site_fract_z
O1 0.500 0.000 0.000
O2 0.000 0.000 0.500
Ru1 0.000 0.500 0.000
Be1 0.500 0.500 0.500
Fe1 0.000 0.000 0.000
```

Properties
Crystal system: tetragonal
Final energy in eV/cell: -26.621


(3)
Material: Be2FeSO
Method: DFT, GGA+U
State: optimized geometry

Structure (CIF):
```
data_Be2FeSO
_chemical_formula_sum 'Be2 Fe1 S1 O1'
_symmetry_space_group_name_H-M 'P 1'
_symmetry_Int_Tables_number 1
_cell_length_a 3.392
_cell_length_b 4.942
_cell_length_c 3.392
_cell_angle_alpha 90.00
_cell_angle_beta 90.00
_cell_angle_gamma 90.00
loop_
_symmetry_equiv_pos_as_xyz
'x,y,z'
loop_
_atom_site_label
_atom_site_fract_x
_atom_site_fract_y
_atom_site_fract_z
S1 0.500 0.500 0.500
O1 0.000 0.000 0.000
Fe1 0.000 0.500 0.000
Be1 0.500 0.000 0.000
Be2 0.000 0.000 0.500
```

Properties
Crystal system: tetragonal
Final energy in eV/cell: -24.007


(4)
Material: BeFeSnO4
Method: DFT, GGA+U
State: optimized geometry

Structure (CIF):
```
data_BeFeSnO4
_chemical_formula_sum 'Be2 Fe2 Sn2 O8'
_symmetry_space_group_name_H-M 'P 1'
_symmetry_Int_Tables_number 1
_cell_length_a 5.772
_cell_length_b 5.921
_cell_length_c 5.921
_cell_angle_alpha 62.17
_cell_angle_beta 60.83
_cell_angle_gamma 60.83
loop_
_symmetry_equiv_pos_as_xyz
'x,y,z'
loop_
_atom_site_label
_atom_site_fract_x
_atom_site_fract_y
_atom_site_fract_z
Fe1 0.000 0.000 0.500
Fe2 0.500 0.000 0.500
O1 0.250 0.737 0.762
O2 0.750 0.263 0.238
O3 0.262 0.743 0.243
O4 0.250 0.262 0.237
O5 0.752 0.743 0.243
O6 0.738 0.257 0.757
O7 0.248 0.257 0.757
O8 0.750 0.738 0.763
Be1 0.642 0.608 0.108
Be2 0.358 0.392 0.892
Sn1 0.000 0.000 0.000
Sn2 0.000 0.500 0.500
```

Properties
Crystal system: orthorhombic
Final energy in eV/cell: -90.441


(5)
Material: Sr2Be2FeO6
Method: DFT, GGA+U
State: optimized geometry

Structure (CIF):
```
data_Sr2Be2FeO6
_chemical_formula_sum 'Sr2 Be2 Fe1 O6'
_symmetry_space_group_name_H-M 'P 1'
_symmetry_Int_Tables_number 1
_cell_length_a 5.307
_cell_length_b 5.307
_cell_length_c 5.960
_cell_angle_alpha 63.56
_cell_angle_beta 63.56
_cell_angle_gamma 60.00
loop_
_symmetry_equiv_pos_as_xyz
'x,y,z'
loop_
_atom_site_label
_atom_site_fract_x
_atom_site_fract_y
_atom_site_fract_z
O1 0.757 0.757 0.231
O2 0.745 0.243 0.769
O3 0.243 0.243 0.769
O4 0.757 0.255 0.231
O5 0.243 0.745 0.769
O6 0.255 0.757 0.231
Sr1 0.220 0.220 0.341
Sr2 0.780 0.780 0.659
Fe1 0.000 0.000 0.000
Be1 0.408 0.408 0.775
Be2 0.592 0.592 0.225
```

Properties
Crystal system: trigonal
Final energy in eV/cell: -70.385


(6)
Material: Sr3Be2FeO6
Method: DFT, GGA+U
State: optimized geometry

Structure (CIF):
```
data_Sr3Be2FeO6
_chemical_formula_sum 'Sr3 Be2 Fe1 O6'
_symmetry_space_group_name_H-M 'P 1'
_symmetry_Int_Tables_number 1
_cell_length_a 5.587
_cell_length_b 5.587
_cell_length_c 6.310
_cell_angle_alpha 90.00
_cell_angle_beta 90.00
_cell_angle_gamma 120.00
loop_
_symmetry_equiv_pos_as_xyz
'x,y,z'
loop_
_atom_site_label
_atom_site_fract_x
_atom_site_fract_y
_atom_site_fract_z
O1 0.176 0.353 0.287
O2 0.353 0.176 0.713
O3 0.824 0.176 0.713
O4 0.647 0.824 0.287
O5 0.824 0.647 0.713
O6 0.176 0.824 0.287
Sr1 0.667 0.333 0.328
Sr2 0.333 0.667 0.672
Sr3 0.000 0.000 0.000
Be1 0.333 0.667 0.256
Be2 0.667 0.333 0.744
Fe1 0.000 0.000 0.500
```

Properties
Crystal system: trigonal
Final energy in eV/cell: -76.648


(7)
Material: UBeFeO5
Method: DFT, GGA+U
State: optimized geometry

Structure (CIF):
```
data_UBeFeO5
_chemical_formula_sum 'U2 Be2 Fe2 O10'
_symmetry_space_group_name_H-M 'P 1'
_symmetry_Int_Tables_number 1
_cell_length_a 5.412
_cell_length_b 5.412
_cell_length_c 7.866
_cell_angle_alpha 105.79
_cell_angle_beta 105.79
_cell_angle_gamma 102.43
loop_
_symmetry_equiv_pos_as_xyz
'x,y,z'
loop_
_atom_site_label
_atom_site_fract_x
_atom_site_fract_y
_atom_site_fract_z
U1 0.000 0.000 0.000
U2 0.000 0.000 0.500
Be1 0.317 0.683 0.750
Be2 0.683 0.317 0.250
O1 0.615 0.726 0.902
O2 0.880 0.120 0.750
O3 0.088 0.685 0.851
O4 0.912 0.315 0.149
O5 0.685 0.088 0.351
O6 0.726 0.615 0.402
O7 0.385 0.274 0.098
O8 0.315 0.912 0.649
O9 0.274 0.385 0.598
O10 0.120 0.880 0.250
Fe1 0.355 0.645 0.250
Fe2 0.645 0.355 0.750
```

Properties
Crystal system: monoclinic
Final energy in eV/cell: -130.798


(8)
Material: YBe2FeO
Method: DFT, GGA+U
State: optimized geometry

Structure (CIF):
```
data_YBe2FeO
_chemical_formula_sum 'Y1 Be2 Fe1 O1'
_symmetry_space_group_name_H-M 'P 1'
_symmetry_Int_Tables_number 1
_cell_length_a 5.311
_cell_length_b 4.151
_cell_length_c 5.311
_cell_angle_alpha 90.00
_cell_angle_beta 90.00
_cell_angle_gamma 90.00
loop_
_symmetry_equiv_pos_as_xyz
'x,y,z'
loop_
_atom_site_label
_atom_site_fract_x
_atom_site_fract_y
_atom_site_fract_z
O1 0.000 0.500 0.000
Be1 0.000 0.000 0.500
Be2 0.500 0.000 0.000
Y1 0.000 0.000 0.000
Fe1 0.500 0.500 0.500
```

Properties
Crystal system: tetragonal
Final energy in eV/cell: -20.241


Question: Number 4 is which compound?
Answer: BeFeSnO4


Question: Number 8 is which compound?
Answer: YBe2FeO